(1)
This record from Alexandria via LeMat-Bulk describes an optimized crystal structure of La2BeW. The functional is PBE-GGA.

## Properties
DOS at the Fermi energy   3.29 states/eV/f.u.
Formation energy   0.394 eV per atom

a b c (Å): 4.3275 4.1839 5.9338
angles (deg): 90.00 111.32 90.00
Last column: nearest neighbours and their distance in Å.
Space group Pm (No. 6)
Symmetry-distinct sites (fractional):
La: 0.0000 0.0000 0.0000  3 W 3.04-3.40, 4 Be 3.16-3.17
La: 0.2820 0.5000 0.5644  3 Be 3.04-3.39, 4 W 3.17
Be: 0.5892 0.5000 0.1777  2 W 2.39
W: 0.6929 0.0000 0.3857  2 Be 2.39


(2)
This record from Alexandria via LeMat-Bulk describes an optimized crystal structure of SrCrSb2I. The functional is PBE-GGA.

## Properties
DOS at the Fermi energy   4.03 states/eV/f.u.
Relative energy among the computed polymorphs   0 meV per atom
Uncorrected formation energy   -222 meV per atom

a b c (Å): 5.1391 5.1391 6.0406
angles (deg): 90.00 90.00 90.00
Last column: nearest neighbours and their distance in Å.
Space group P4/mmm (No. 123)
Symmetry-distinct sites (fractional):
Sr: 0.0000 0.0000 0.0000  4 I 3.63, 8 Sb 3.97
Cr: 0.5000 0.5000 0.5000  4 Sb 2.57
Sb: 0.0000 0.5000 0.5000  2 Cr 2.57
I: 0.5000 0.5000 0.0000  2 Cr 3.02


(3)
This record from Alexandria via LeMat-Bulk describes an optimized crystal structure of La3Ni2As4. The functional is PBE-GGA.

## Properties
DOS at the Fermi energy   4.97 states/eV/f.u.
Formation energy   -1.033 eV per atom

a b c (Å): 11.1611 4.2632 8.4358
angles (deg): 90.00 101.08 90.00
Last column: nearest neighbours and their distance in Å.
Space group C2/m (No. 12)
Symmetry-distinct sites (fractional):
La: 0.0000 0.0000 0.0000  8 As 3.15-3.37, 4 Ni 3.26
La: 0.1577 0.5000 0.6698  4 Ni 3.05-3.35, 8 As 3.13-3.34
Ni: 0.1071 0.5000 0.2839  3 As 2.32-2.34
As: 0.0718 0.0000 0.3801  2 Ni 2.34
As: 0.2131 0.5000 0.0729  1 Ni 2.32


(4)
This record from Alexandria via LeMat-Bulk describes an optimized crystal structure of Np3MoN7. The functional is PBE-GGA.

## Properties
DOS at the Fermi energy   16.46 states/eV/f.u.
Uncorrected formation energy   -798 meV per atom

a b c (Å): 7.4209 10.3745 7.3161
angles (deg): 90.00 90.00 90.00
Last column: nearest neighbours and their distance in Å.
Space group C222_1 (No. 20)
Symmetry-distinct sites (fractional):
Np: 0.0116 0.0000 0.0000  6 N 2.26-2.37
Np: 0.2324 0.2677 0.7551  7 N 2.16-2.37
Mo: 0.0302 0.5000 0.0000  4 N 1.89-2.00
N: 0.0000 0.1284 0.2500  4 Np 2.26
N: 0.0000 0.1431 0.7500  4 Np 2.16-2.36
N: 0.0000 0.4245 0.7500  2 Mo 2.00
N: 0.2101 0.3739 0.0400  1 Mo 1.89
N: 0.2271 0.3697 0.4807  3 Np 2.20-2.37, 1 Mo 2.34


(5)
This record from Alexandria via LeMat-Bulk describes an optimized crystal structure of Hf2CdPb. The functional is PBE-GGA.

## Properties
DOS at the Fermi energy   3.95 states/eV/f.u.
Formation energy   0.349 eV per atom
Relative energy among the computed polymorphs   317 meV per atom

a b c (Å): 7.9526 7.9526 6.1104
angles (deg): 90.00 90.00 90.00
Last column: nearest neighbours and their distance in Å.
Space group I-42d (No. 122)
Symmetry-distinct sites (fractional):
Hf: 0.2469 0.2500 0.1250  2 Cd 2.90, 2 Pb 2.93, 2 Hf 3.06
Cd: 0.0000 0.0000 0.0000  4 Hf 2.90, 2 Pb 3.06
Pb: 0.0000 0.0000 0.5000  4 Hf 2.93, 2 Cd 3.06


(6)
This record from Alexandria via LeMat-Bulk describes an optimized crystal structure of Tb5Sm2Ho6. The functional is PBE-GGA.

## Properties
DOS at the Fermi energy   15.86 states/eV/f.u.
Formation energy   0.098 eV per atom

a b c (Å): 11.6376 20.2226 3.5724
angles (deg): 90.00 90.00 90.00
Last column: nearest neighbours and their distance in Å.
Space group Pbam (No. 55)
Symmetry-distinct sites (fractional):
Tb: 0.0000 0.0000 0.0000  6 Ho 3.35-3.37, 4 Tb 3.57-3.64
Tb: 0.0889 0.2753 0.0000  5 Ho 3.31-3.46, 4 Sm 3.51-3.56, 2 Tb 3.57
Tb: 0.1995 0.5503 0.0000  7 Ho 3.54-3.96, 3 Tb 3.57-3.64, 2 Sm 3.76
Sm: 0.1694 0.7127 0.5000  3 Ho 3.34-3.62, 4 Tb 3.51-3.56, 2 Sm 3.57
Ho: 0.0591 0.4206 0.5000  6 Tb 3.46-3.57, 5 Ho 3.49-3.71, 1 Sm 3.79
Ho: 0.0802 0.1323 0.5000  1 Sm 3.34, 6 Tb 3.35-3.54, 4 Ho 3.48-3.57
Ho: 0.1766 0.8681 0.0000  2 Tb 3.31-3.37, 4 Ho 3.48-3.57, 2 Sm 3.62


(7)
This record from Alexandria via LeMat-Bulk describes an optimized crystal structure of NaCaNdBr6. The functional is PBE-GGA.

## Properties
DOS at the Fermi energy   0.00 states/eV/f.u.
Uncorrected formation energy   -1855 meV per atom

a b c (Å): 7.4373 7.4373 13.3251
angles (deg): 90.00 90.00 120.00
Last column: nearest neighbours and their distance in Å.
Space group P-31c (No. 163)
Symmetry-distinct sites (fractional):
Na: 0.0000 0.0000 0.0000  6 Br 3.11
Ca: 0.3333 0.6667 0.2500  6 Br 2.92
Nd: 0.3333 0.6667 0.7500  6 Br 2.91
Br: 0.0006 0.3501 0.6281  1 Nd 2.91, 1 Ca 2.92, 1 Na 3.11


(8)
This record from Alexandria via LeMat-Bulk describes an optimized crystal structure of Gd2Cr2C3. The functional is PBE-GGA.

## Properties
DOS at the Fermi energy   4.73 states/eV/f.u.
Formation energy   -0.276 eV per atom

a b c (Å): 10.3895 3.4395 5.6302
angles (deg): 90.00 105.50 90.00
Last column: nearest neighbours and their distance in Å.
Space group C2/m (No. 12)
Symmetry-distinct sites (fractional):
Gd: 0.1034 0.0000 0.3173  5 C 2.51-2.76
Cr: 0.1583 0.5000 0.8942  4 C 1.89-1.99
C: 0.0000 0.5000 0.0000  2 Cr 1.89
C: 0.2089 0.0000 0.7769  3 Cr 1.96-1.99